# Cs2AgPbCl6

A relaxed Cs2AgPbCl6 crystal (PBE, OQMD via LeMat-Bulk).

Cell: 10.7838 10.7838 10.7838 Å, 90.00 90.00 90.00°
Space group Fm-3m (No. 225)
Asymmetric unit:
Cs  0.2500  0.2500  0.2500
Ag  0.0000  0.0000  0.0000
Pb  0.0000  0.0000  0.5000
Cl  0.0000  0.0000  0.2449

## Properties
energy above the most stable polymorph in this dataset	0.001	eV per atom


# Cs2AgPbCl6

A relaxed Cs2AgPbCl6 crystal (PBE, OQMD via LeMat-Bulk).

Cell: 7.6376 7.6376 18.7276 Å, 90.00 90.00 120.00°
Space group R-3 (No. 148, hexagonal axes)
Asymmetric unit:
Cs  0.0000  0.0000  0.2499
Ag  0.0000  0.0000  0.0000
Pb  0.0000  0.0000  0.5000
Cl  0.0069  0.5023  0.7481

## Properties
energy above the most stable polymorph in this dataset	0.000	eV per atom


# Cs2PuAgCl6

A relaxed Cs2PuAgCl6 crystal (PBE, OQMD via LeMat-Bulk).

Cell: 13.3093 7.6854 7.6764 Å, 90.00 125.15 90.00°
Space group C2/m (No. 12)
Asymmetric unit:
Cs  0.2502  0.0000  0.2500
Pu  0.0000  0.0000  0.5000
Ag  0.0000  0.5000  0.0000
Cl  0.0006  0.2481  0.2524
Cl  0.2482  0.0000  0.7492


# Cs2PuAgCl6

A relaxed Cs2PuAgCl6 crystal (PBE, OQMD via LeMat-Bulk).

Cell: 7.5784 7.5784 11.1252 Å, 90.00 90.00 90.00°
Space group I4/m (No. 87)
Asymmetric unit:
Cs  0.0000  0.5000  0.2500
Pu  0.0000  0.0000  0.0000
Ag  0.0000  0.0000  0.5000
Cl  0.0000  0.0000  0.2442
Cl  0.2085  0.7102  0.0000


# CsRb2AgCl6

A relaxed CsRb2AgCl6 crystal (PBE, OQMD via LeMat-Bulk).

Cell: 11.2338 11.2338 11.2338 Å, 90.00 90.00 90.00°
Space group Fm-3m (No. 225)
Asymmetric unit:
Cs  0.0000  0.0000  0.0000
Rb  0.2500  0.2500  0.2500
Ag  0.0000  0.0000  0.5000
Cl  0.0000  0.0000  0.2773


# Cs2ScAgCl6

A relaxed Cs2ScAgCl6 crystal (PBE, OQMD via LeMat-Bulk).

Cell: 7.4512 7.4512 18.1887 Å, 90.00 90.00 120.00°
Space group R-3 (No. 148, hexagonal axes)
Asymmetric unit:
Cs  0.0000  0.0000  0.2504
Sc  0.0000  0.0000  0.5000
Ag  0.0000  0.0000  0.0000
Cl  0.0166  0.5245  0.2458


| no. | E (eV per atom) |
| --- | --- |
| 1 | -3.2378 |
| 2 | -3.2385 |
| 3 | -4.6894 |
| 4 | -4.6880 |
| 5 | -2.8419 |
| 6 | -3.9849 |